# DyEr2PaRu2, optimized geometry, DFT PBE
# Density of states at the Fermi level, states/eV/f.u.: 5.3
# Symmetry: Ibam (72)
# Total energy, eV per atom: -7.25
# Calculated density, Mg/m³: 9.9
data_DyEr2PaRu2
_chemical_formula_sum 'Dy2 Er4 Pa2 Ru4'
_space_group_name_H-M_alt 'P 1'
_space_group_IT_number 1
_space_group_name_Hall 'P 1'
_cell_length_a 6.686
_cell_length_b 6.832
_cell_length_c 8.310
_cell_angle_alpha 114.27
_cell_angle_beta 113.72
_cell_angle_gamma 90.00
loop_
_atom_site_label
_atom_site_type_symbol
_atom_site_fract_x
_atom_site_fract_y
_atom_site_fract_z
_atom_site_occupancy
Ru1 Ru 0.604 0.400 0.208 1
Ru2 Ru 0.104 0.809 0.208 1
Ru3 Ru 0.896 0.191 0.792 1
Ru4 Ru 0.396 0.600 0.792 1
Pa1 Pa 0.250 0.500 0.000 1
Pa2 Pa 0.750 0.500 0.000 1
Er1 Er 0.303 0.111 0.606 1
Er2 Er 0.803 0.495 0.606 1
Er3 Er 0.697 0.889 0.394 1
Er4 Er 0.197 0.505 0.394 1
Dy1 Dy 0.750 0.000 0.000 1
Dy2 Dy 0.250 0.000 0.000 1